Record 1
Entry from the Alexandria database: crystalline Hf2PbCl8 at its relaxed geometry (PBE).

a b c (Å): 8.014 8.014 6.794
angles (deg): 90.77 90.77 78.43
Atoms (fractional coordinates):
Hf 0.171 0.171 0.332
Hf 0.829 0.829 0.668
Pb 0.000 0.000 0.000
Cl 0.112 0.668 0.701
Cl 0.165 0.165 0.687
Cl 0.332 0.888 0.299
Cl 0.343 0.343 0.209
Cl 0.657 0.657 0.791
Cl 0.668 0.112 0.701
Cl 0.835 0.835 0.313
Cl 0.888 0.332 0.299

Calculated values
The value obtained for the volume is 38.852 A^3/atom. The total moment comes out at 0.000 μB per atom. Its formation energy from raw total energies is -1.47 eV/atom. Its raw total energy is -4.963 eV/atom. Its symmetry is C2/m (12).

***

Record 2
Entry from the Alexandria database: crystalline Cd4Pd15Pb at its relaxed geometry (PBE).

a b c (Å): 4.069 4.069 20.011
angles (deg): 90.00 90.00 90.00
Atoms (fractional coordinates):
Cd 0.000 0.000 0.099
Cd 0.000 0.000 0.297
Cd 0.000 0.000 0.703
Cd 0.000 0.000 0.901
Pd 0.000 0.500 0.000
Pd 0.000 0.500 0.198
Pd 0.000 0.500 0.397
Pd 0.000 0.500 0.603
Pd 0.000 0.500 0.802
Pd 0.500 0.000 0.000
Pd 0.500 0.000 0.198
Pd 0.500 0.000 0.397
Pd 0.500 0.000 0.603
Pd 0.500 0.000 0.802
Pd 0.500 0.500 0.099
Pd 0.500 0.500 0.297
Pd 0.500 0.500 0.500
Pd 0.500 0.500 0.703
Pd 0.500 0.500 0.901
Pb 0.000 0.000 0.500

Calculated values
The value obtained for the volume is 16.569 A^3/atom. The total moment comes out at 0.000 μB per atom. Its raw total energy is -4.506 eV/atom. Its symmetry is P4/mmm (123). The calculation puts the formation enthalpy at 0 K at -5.61 kcal/mol of atoms.

***

Record 3
Entry from the Alexandria database: crystalline Pa3AsP2 at its relaxed geometry (PBE).

a b c (Å): 8.971 8.971 8.971
angles (deg): 154.15 154.15 36.88
Atoms (fractional coordinates):
Pa 0.000 0.000 0.000
Pa 0.330 0.330 0.000
Pa 0.670 0.670 0.000
As 0.500 0.500 0.000
P 0.166 0.166 0.000
P 0.834 0.834 0.000

Calculated values
The value obtained for the volume is 22.838 A^3/atom. The total moment comes out at 0.000 μB per atom. Its raw total energy is -8.555 eV/atom. Its symmetry is I4/mmm (139). The calculation puts the formation enthalpy at 0 K at -28.34 kcal/mol of atoms.

***

Record 4
Entry from the Alexandria database: crystalline Ta2NiOs at its relaxed geometry (PBE).

a b c (Å): 4.451 4.451 4.451
angles (deg): 60.00 60.00 60.00
Atoms (fractional coordinates):
Ta 0.250 0.250 0.250
Ta 0.750 0.750 0.750
Ni 0.000 0.000 0.000
Os 0.500 0.500 0.500

Calculated values
The value obtained for the volume is 15.583 A^3/atom. The total moment comes out at 0.000 μB per atom. As for the energy above the most stable polymorph in this dataset: 51 meV per atom. Its raw total energy is -10.379 eV/atom. Its symmetry is Fm-3m (225). The calculation puts the formation enthalpy at 0 K at -4.61 kcal/mol of atoms.

***

Record 5
Entry from the Alexandria database: crystalline La4AuCCl2 at its relaxed geometry (PBE).

a b c (Å): 7.288 4.055 7.535
angles (deg): 90.00 108.21 90.00
Atoms (fractional coordinates):
La 0.210 0.000 0.206
La 0.226 0.500 0.783
La 0.774 0.500 0.217
La 0.790 0.000 0.794
Au 0.000 0.000 0.500
C 0.000 0.500 0.000
Cl 0.500 0.000 0.000
Cl 0.500 0.500 0.500

Calculated values
The value obtained for the volume is 26.439 A^3/atom. The total moment comes out at 0.000 μB per atom. Its formation energy from raw total energies is -1.03 eV/atom. Its raw total energy is -5.517 eV/atom. Its symmetry is P2/m (10).

***

Record 6
Entry from the Alexandria database: crystalline FeTeAs2 at its relaxed geometry (PBE).

a b c (Å): 6.122 6.122 6.122
angles (deg): 151.25 133.51 55.59
Atoms (fractional coordinates):
Fe 0.000 0.000 0.000
Te 0.500 0.500 0.000
As 0.177 0.677 0.500
As 0.823 0.323 0.500

Calculated values
The value obtained for the volume is 19.889 A^3/atom. The total moment comes out at 0.330 μB per atom. Its formation energy from raw total energies is 0.28 eV/atom. Its raw total energy is -4.943 eV/atom. Its symmetry is Immm (71).

***

Record 7
Entry from the Alexandria database: crystalline Ba2Si2Au at its relaxed geometry (PBE).

a b c (Å): 8.408 8.408 4.495
angles (deg): 90.00 90.00 90.00
Atoms (fractional coordinates):
Ba 0.194 0.306 0.000
Ba 0.306 0.806 0.000
Ba 0.694 0.194 0.000
Ba 0.806 0.694 0.000
Si 0.094 0.594 0.500
Si 0.406 0.094 0.500
Si 0.594 0.906 0.500
Si 0.906 0.406 0.500
Au 0.000 0.000 0.500
Au 0.500 0.500 0.500

Calculated values
The value obtained for the volume is 31.784 A^3/atom. The total moment comes out at 0.000 μB per atom. As for the energy above the most stable polymorph in this dataset: 98 meV per atom. Its formation energy from raw total energies is -0.27 eV/atom. Its raw total energy is -3.863 eV/atom. Its symmetry is P4/mbm (127).

***

Record 8
Entry from the Alexandria database: crystalline IrRu2PtPb at its relaxed geometry (PBE).

a b c (Å): 4.823 4.823 4.869
angles (deg): 90.00 90.00 90.00
Atoms (fractional coordinates):
Ir 0.000 0.000 0.000
Ru 0.000 0.500 0.500
Ru 0.500 0.000 0.500
Pt 0.000 0.000 0.500
Pb 0.500 0.500 0.000

Calculated values
The value obtained for the volume is 22.654 A^3/atom. The total moment comes out at 0.750 μB per atom. Its raw total energy is -5.837 eV/atom. Its symmetry is P4/mmm (123). The calculation puts the formation enthalpy at 0 K at 36.79 kcal/mol of atoms.